VASP calculation (PBE) on an optimized crystal structure of Zr2BeCdC.

## Properties
ΔH_f (0 K) = -0.227 eV per atom
density of states at the Fermi level = 1.3 states/eV per cell
symmetry = P4/mmm

a = 4.736 Å, b = 4.736 Å, c = 3.570 Å
α = 90.00°, β = 90.00°, γ = 90.00°
Fractional positions:
Be: 0.000 0.000 0.500
Cd: 0.500 0.500 0.500
Zr: 0.000 0.500 0.000
C: 0.000 0.000 0.000
Zr: 0.500 0.000 0.000